DFT (PBE) results for a relaxed structure of CrSb3P.

Unit cell a=4.944 b=4.944 c=4.944 alpha=90.00 beta=90.00 gamma=90.00
Element x y z (fractional)
Cr: 0.000 0.000 0.000
Sb: 0.000 0.000 0.500
Sb: 0.000 0.500 0.000
Sb: 0.500 0.000 0.000
P: 0.500 0.500 0.500

* ΔE_f (raw): 0.625 eV per atom
* volume: 121 Å³ per cell
* magnetic moment: 0.10 μB per formula unit

---

DFT (PBE) results for a relaxed structure of ScNbPd.

Unit cell a=2.986 b=5.265 c=7.328 alpha=75.59 beta=81.48 gamma=85.20
Element x y z (fractional)
Sc: 0.000 0.000 0.000
Sc: 0.007 0.679 0.668
Nb: 0.177 0.173 0.355
Nb: 0.473 0.469 0.043
Pd: 0.559 0.217 0.680
Pd: 0.663 0.682 0.337

* volume: 110 Å³ per cell
* magnetic moment: 0.00 μB per formula unit
* polymorph energy (0 for the lowest one): 0.50 eV per formula unit

---

DFT (PBE) results for a relaxed structure of NaTbNd2Te4.

Unit cell a=7.756 b=4.441 c=7.765 alpha=90.00 beta=108.99 gamma=90.00
Element x y z (fractional)
Na: 0.000 0.000 0.000
Tb: 0.500 0.500 0.000
Nd: 0.000 0.500 0.500
Nd: 0.500 0.000 0.500
Te: 0.251 0.500 0.244
Te: 0.254 0.000 0.760
Te: 0.746 0.000 0.240
Te: 0.749 0.500 0.756

* ΔE_f (raw): -1.361 eV per atom
* volume: 253 Å³ per cell
* magnetic moment: 0.00 μB per formula unit